Record 1
VASP calculation (PBE-GGA) on crystalline K2SbPd2 at its relaxed geometry.

The value obtained for the density of states at the Fermi level is 0.764 states/eV/atom. The space group is R-3m, No. 166. The density comes out at 3.67 g/cm³. The calculated total energy comes out at -3.695 eV per atom. Its energy above the most stable polymorph in this dataset is 0.0 meV per atom. For the formation energy (no corrections), the calculation gives -355 meV per atom.

Cell lengths 10.411, 10.411, 10.411 Å; angles 25.70, 25.70, 25.70 degrees
Element x y z (fractional)
K (0.076, 0.076, 0.076)
K (0.924, 0.924, 0.924)
Sb (0.500, 0.500, 0.500)
Pd (0.182, 0.182, 0.182)
Pd (0.818, 0.818, 0.818)



Record 2
VASP calculation (PBE-GGA) on crystalline Sr2Li2LaTl2 at its relaxed geometry.

The value obtained for the density of states at the Fermi level is 0.906 states/eV/atom. The space group is R-3m, No. 166. The density comes out at 5.13 g/cm³. The formation energy comes out at -0.2537 eV per atom. The calculated total energy comes out at -2.661 eV per atom.

Cell lengths 11.250, 11.250, 11.250 Å; angles 25.84, 25.84, 25.84 degrees
Element x y z (fractional)
Sr (0.116, 0.116, 0.116)
Sr (0.884, 0.884, 0.884)
Li (0.384, 0.384, 0.384)
Li (0.616, 0.616, 0.616)
La (0.000, 0.000, 0.000)
Tl (0.279, 0.279, 0.279)
Tl (0.721, 0.721, 0.721)



Record 3
VASP calculation (PBE-GGA) on crystalline Rb2CaAgBr6 at its relaxed geometry.

The value obtained for the density of states at the Fermi level is 1.129 states/eV/atom. The space group is I4/mmm, No. 139. The density comes out at 3.75 g/cm³. The calculated total energy comes out at -3.007 eV per atom. Its energy above the most stable polymorph in this dataset is 37.6 meV per atom. For the formation energy (no corrections), the calculation gives -1325 meV per atom.

Cell lengths 7.943, 7.943, 7.943 Å; angles 120.10, 120.10, 89.82 degrees
Element x y z (fractional)
Rb (0.250, 0.750, 0.500)
Rb (0.750, 0.250, 0.500)
Ca (0.000, 0.000, 0.000)
Ag (0.500, 0.500, 0.000)
Br (0.254, 0.254, 0.000)
Br (0.255, 0.255, 0.509)
Br (0.255, 0.745, 0.000)
Br (0.745, 0.255, 0.000)
Br (0.745, 0.745, 0.491)
Br (0.746, 0.746, 0.000)



Record 4
VASP calculation (PBE-GGA) on crystalline SiHg2Sb at its relaxed geometry.

The value obtained for the density of states at the Fermi level is 0.360 states/eV/atom. The space group is Cmmm, No. 65. The density comes out at 9.49 g/cm³. The calculated total energy comes out at -2.228 eV per atom. Its energy above the most stable polymorph in this dataset is 142.3 meV per atom. For the formation energy (no corrections), the calculation gives 309 meV per atom.

Cell lengths 4.442, 4.442, 4.922 Å; angles 90.00, 90.00, 96.95 degrees
Element x y z (fractional)
Si (0.000, 0.000, 0.000)
Hg (0.227, 0.773, 0.500)
Hg (0.773, 0.227, 0.500)
Sb (0.500, 0.500, 0.000)



Record 5
VASP calculation (PBE-GGA) on crystalline TbTm6S8 at its relaxed geometry.

The value obtained for the density of states at the Fermi level is 0.374 states/eV/atom. The space group is Fm-3m, No. 225. The density comes out at 7.41 g/cm³. The calculated total energy comes out at -6.311 eV per atom. For the formation energy (no corrections), the calculation gives -2012 meV per atom.

Cell lengths 7.680, 7.680, 7.680 Å; angles 60.00, 60.00, 60.00 degrees
Element x y z (fractional)
Tb (0.000, 0.000, 0.000)
Tm (0.000, 0.000, 0.500)
Tm (0.000, 0.500, 0.000)
Tm (0.000, 0.500, 0.500)
Tm (0.500, 0.000, 0.000)
Tm (0.500, 0.000, 0.500)
Tm (0.500, 0.500, 0.000)
S (0.250, 0.250, 0.250)
S (0.255, 0.255, 0.745)
S (0.255, 0.745, 0.255)
S (0.255, 0.745, 0.745)
S (0.745, 0.255, 0.255)
S (0.745, 0.255, 0.745)
S (0.745, 0.745, 0.255)
S (0.750, 0.750, 0.750)



Record 6
VASP calculation (PBE-GGA) on crystalline Pr2IrI at its relaxed geometry.

The value obtained for the density of states at the Fermi level is 0.284 states/eV/atom. The space group is R-3m, No. 166. The density comes out at 7.81 g/cm³. The calculated total energy comes out at -5.947 eV per atom. Its energy above the most stable polymorph in this dataset is 0.0 meV per atom. For the formation energy (no corrections), the calculation gives -955 meV per atom.

Cell lengths 8.531, 8.531, 8.531 Å; angles 28.85, 28.85, 28.85 degrees
Element x y z (fractional)
Pr (0.228, 0.228, 0.228)
Pr (0.772, 0.772, 0.772)
Ir (0.500, 0.500, 0.500)
I (0.000, 0.000, 0.000)



- Among the records above, which one has the highest calculated total energy?
  SiHg2Sb